# 1
Material: SrPmSnHg
Method: DFT, GGA-PBE
State: relaxed

As for the electronic total energy: -3.240 eV per atom. The calculation puts the size of the total moment at 0.00 μB/f.u.

It has space group F-43m (No. 216), with a = 7.849 Å, b = 7.849 Å, c = 7.849 Å, α = 90.00°, β = 90.00° and γ = 90.00°. The distinct sites, in fractional coordinates, are Sr at (0.000, 0.000, 0.000), Pm at (0.000, 0.000, 0.500), Sn at (0.250, 0.250, 0.750) and Hg at (0.250, 0.250, 0.250).

# 2
Material: TbPm2Sn2Hg2
Method: DFT, GGA-PBE
State: relaxed

As for the electronic total energy: -3.582 eV per atom. The calculation puts the size of the total moment at 0.00 μB/f.u.

It has space group R-3m (No. 166, hexagonal axes), with a = 4.9965 Å, b = 4.9965 Å, c = 27.3654 Å, α = 90.00°, β = 90.00° and γ = 120.00°. The distinct sites, in fractional coordinates, are Tb at (0.0000, 0.0000, 0.0000), Pm at (0.0000, 0.0000, 0.1298), Sn at (0.0000, 0.0000, 0.2736) and Hg at (0.0000, 0.0000, 0.4271).